Entry from the Alexandria database: CsTiGeI6 after structural relaxation (PBE-GGA).

Results
Its total energy is -3.2939 eV per atom. Its formation energy (no corrections) is -0.78 eV/atom.

Unit cell a=7.6096 b=7.6096 c=8.6890 alpha=90.00 beta=90.00 gamma=120.00
Space group P312 (No. 149)
Symmetry-distinct sites (fractional):
Cs 0.0000 0.0000 0.0000 (multiplicity 1)
Ti 0.3333 0.6667 0.5000 (multiplicity 1)
Ge 0.6667 0.3333 0.5000 (multiplicity 1)
I 0.0179 0.3787 0.6888 (multiplicity 6)

Entry from the Alexandria database: YMn2P after structural relaxation (PBE-GGA).

Results
Its total energy is -7.6239 eV per atom. For the formation energy, the calculation gives -0.071 eV per atom.

Unit cell a=4.0096 b=4.0096 c=4.2631 alpha=90.00 beta=90.00 gamma=90.00
Space group P4/mmm (No. 123)
Symmetry-distinct sites (fractional):
Y 0.0000 0.0000 0.0000 (multiplicity 1)
Mn 0.0000 0.5000 0.5000 (multiplicity 2)
P 0.5000 0.5000 0.0000 (multiplicity 1)

Entry from the Alexandria database: LiThPb2 after structural relaxation (PBE-GGA).

Results
Its total energy is -4.3957 eV per atom. For the formation energy, the calculation gives -0.208 eV per atom.

Unit cell a=3.4729 b=3.4729 c=31.4278 alpha=90.00 beta=90.00 gamma=120.00
Space group R-3m (No. 166, hexagonal axes)
Symmetry-distinct sites (fractional):
Li 0.0000 0.0000 0.0000 (multiplicity 3)
Th 0.0000 0.0000 0.5000 (multiplicity 3)
Pb 0.0000 0.0000 0.2588 (multiplicity 6)

Entry from the Alexandria database: Mo3Rh6W after structural relaxation (PBE-GGA).

Results
Its total energy is -9.1692 eV per atom. For the formation energy, the calculation gives -0.214 eV per atom.

Unit cell a=7.3358 b=4.4187 c=9.5673 alpha=90.00 beta=108.50 gamma=90.00
Space group P2_1/m (No. 11)
Symmetry-distinct sites (fractional):
Mo 0.0991 0.2500 0.2346 (multiplicity 2)
Mo 0.2997 0.2500 0.0330 (multiplicity 2)
Mo 0.3032 0.7500 0.3680 (multiplicity 2)
Rh 0.0965 0.2500 0.7330 (multiplicity 2)
Rh 0.1025 0.7500 0.0674 (multiplicity 2)
Rh 0.2972 0.2500 0.5316 (multiplicity 2)
Rh 0.3009 0.7500 0.8665 (multiplicity 2)
Rh 0.4977 0.2500 0.3298 (multiplicity 2)
Rh 0.5000 0.2500 0.8336 (multiplicity 2)
W 0.1015 0.7500 0.5695 (multiplicity 2)

Entry from the Alexandria database: Tm2Mn17C2 after structural relaxation (PBE-GGA).

Results
Its total energy is -8.8114 eV per atom. For the formation energy, the calculation gives -0.084 eV per atom.

Unit cell a=9.5132 b=8.5203 c=6.4248 alpha=90.00 beta=98.41 gamma=90.00
Space group C2/m (No. 12)
Symmetry-distinct sites (fractional):
Tm 0.1494 0.0000 0.3516 (multiplicity 4)
Mn 0.0000 0.2224 0.0000 (multiplicity 4)
Mn 0.0000 0.5000 0.5000 (multiplicity 2)
Mn 0.0961 0.5000 0.9018 (multiplicity 4)
Mn 0.0982 0.2605 0.6604 (multiplicity 8)
Mn 0.1436 0.3614 0.2786 (multiplicity 8)
Mn 0.1472 0.0000 0.8749 (multiplicity 4)
Mn 0.2500 0.2500 0.0000 (multiplicity 4)
C 0.2500 0.2500 0.5000 (multiplicity 4)

Entry from the Alexandria database: Cr2HOs after structural relaxation (PBE-GGA).

Results
Its total energy is -8.4314 eV per atom.

Unit cell a=2.6791 b=2.6791 c=19.2847 alpha=90.00 beta=90.00 gamma=120.00
Space group R3m (No. 160, hexagonal axes)
Symmetry-distinct sites (fractional):
Cr 0.0000 0.0000 0.0000 (multiplicity 3)
Cr 0.0000 0.0000 0.2185 (multiplicity 3)
H 0.0000 0.0000 0.6068 (multiplicity 3)
Os 0.0000 0.0000 0.7759 (multiplicity 3)

Entry from the Alexandria database: Sc2Tc after structural relaxation (PBE-GGA).

Results
Its total energy is -7.8888 eV per atom. For the formation energy, the calculation gives -0.212 eV per atom.

Unit cell a=3.2999 b=3.2999 c=11.0824 alpha=90.00 beta=90.00 gamma=90.00
Space group I4/mmm (No. 139)
Symmetry-distinct sites (fractional):
Sc 0.0000 0.0000 0.1354 (multiplicity 4)
Tc 0.0000 0.0000 0.5000 (multiplicity 2)

Entry from the Alexandria database: IrBr2Cl after structural relaxation (PBE-GGA).

Results
Its total energy is -2.5741 eV per atom. Its formation energy (no corrections) is 0.94 eV/atom.

Unit cell a=4.9675 b=8.9792 c=9.1245 alpha=90.00 beta=90.00 gamma=90.00
Space group Fmmm (No. 69)
Symmetry-distinct sites (fractional):
Ir 0.0000 0.0000 0.0000 (multiplicity 4)
Br 0.0000 0.2500 0.2500 (multiplicity 8)
Cl 0.0000 0.0000 0.5000 (multiplicity 4)

Entry from the Alexandria database: BeFe2PdN after structural relaxation (PBE-GGA).

Results
Its total energy is -6.9802 eV per atom. Its formation energy (no corrections) is -0.15 eV/atom.

Unit cell a=3.8602 b=3.8602 c=3.5814 alpha=90.00 beta=90.00 gamma=90.00
Space group P4/mmm (No. 123)
Symmetry-distinct sites (fractional):
Be 0.0000 0.0000 0.0000 (multiplicity 1)
Fe 0.0000 0.5000 0.5000 (multiplicity 2)
Pd 0.5000 0.5000 0.0000 (multiplicity 1)
N 0.0000 0.0000 0.5000 (multiplicity 1)

Entry from the Alexandria database: LiPaPb2 after structural relaxation (PBE-GGA).

Results
Its total energy is -4.6582 eV per atom. For the formation energy, the calculation gives 0.048 eV per atom.

Unit cell a=7.4720 b=7.4720 c=7.4720 alpha=90.00 beta=90.00 gamma=90.00
Space group Fm-3m (No. 225)
Symmetry-distinct sites (fractional):
Li 0.0000 0.0000 0.0000 (multiplicity 4)
Pa 0.0000 0.0000 0.5000 (multiplicity 4)
Pb 0.2500 0.2500 0.2500 (multiplicity 8)

Entry from the Alexandria database: Dy2Ga4IrPd3 after structural relaxation (PBE-GGA).

Results
Its total energy is -5.3390 eV per atom. For the formation energy, the calculation gives -0.764 eV per atom.

Unit cell a=4.1614 b=4.1614 c=10.7069 alpha=90.00 beta=90.00 gamma=90.00
Space group P-4m2 (No. 115)
Symmetry-distinct sites (fractional):
Dy 0.0000 0.5000 0.2401 (multiplicity 2)
Ga 0.0000 0.0000 0.5000 (multiplicity 1)
Ga 0.0000 0.5000 0.8693 (multiplicity 2)
Ga 0.5000 0.5000 0.5000 (multiplicity 1)
Ir 0.5000 0.5000 0.0000 (multiplicity 1)
Pd 0.0000 0.0000 0.0000 (multiplicity 1)
Pd 0.0000 0.5000 0.6389 (multiplicity 2)

Entry from the Alexandria database: RbBiRh2Se after structural relaxation (PBE-GGA).

Results
Its total energy is -4.1224 eV per atom. Its formation energy (no corrections) is 0.48 eV/atom.

Unit cell a=4.7495 b=4.7495 c=5.8572 alpha=90.00 beta=90.00 gamma=90.00
Space group P4/mmm (No. 123)
Symmetry-distinct sites (fractional):
Rb 0.0000 0.0000 0.0000 (multiplicity 1)
Bi 0.5000 0.5000 0.0000 (multiplicity 1)
Rh 0.0000 0.5000 0.5000 (multiplicity 2)
Se 0.0000 0.0000 0.5000 (multiplicity 1)